(1)
The following is a DFT calculation (PBE) of an optimized crystal structure of Cs3Np3SbTe8.

Cell: 9.1210 9.1213 10.4471 Å, 115.89 90.00 120.00°
With the nearest neighbours (Å) after each atom.
Element x y z (fractional)
Cs  0.0000  0.0000  0.0000  6 Te 3.85-3.87
Cs  0.0000  0.5000  0.0000  6 Te 3.85-3.87
Cs  0.5000  0.5000  0.0000  6 Te 3.85-3.87
Np  0.5000  0.0000  0.5000  6 Te 3.12-3.14
Np  0.5000  0.5000  0.5000  6 Te 3.12-3.14
Np  0.0000  0.5000  0.5000  6 Te 3.12-3.14
Sb  0.0000  0.0000  0.5000  6 Te 3.13
Te  0.2703  0.5406  0.3109  3 Np 3.14
Te  0.7297  0.4594  0.6891  3 Np 3.14
Te  0.7708  0.5416  0.3145  2 Np 3.12, 1 Sb 3.13
Te  0.2292  0.4584  0.6855  2 Np 3.12, 1 Sb 3.13
Te  0.7708  0.0437  0.3146  2 Np 3.12, 1 Sb 3.13
Te  0.2292  0.9563  0.6854  2 Np 3.12, 1 Sb 3.13
Te  0.2728  0.0437  0.3146  2 Np 3.12, 1 Sb 3.13
Te  0.7272  0.9563  0.6854  2 Np 3.12, 1 Sb 3.13

Calculated values
crystal system = trigonal
space-group type = R-3m, No. 166
V = 43.33 Å³ per atom
raw formation energy = -0.75 eV per atom


(2)
The following is a DFT calculation (PBE) of an optimized crystal structure of Cs4NpSc3Se8.

Cell: 8.2848 9.5827 8.2845 Å, 115.62 120.00 90.00°
With the nearest neighbours (Å) after each atom.
Element x y z (fractional)
Cs  0.5000  0.0000  0.0000  6 Se 3.51
Cs  0.5000  0.0000  0.5000  6 Se 3.60-3.61
Cs  0.0000  0.0000  0.0000  6 Se 3.60-3.61
Cs  0.0000  0.0000  0.5000  6 Se 3.60-3.61
Np  0.0000  0.5000  0.0000  6 Se 2.90
Sc  0.5000  0.5000  0.0000  6 Se 2.78-2.81
Sc  0.5000  0.5000  0.5000  6 Se 2.78-2.80
Sc  0.0000  0.5000  0.5000  6 Se 2.78-2.80
Se  0.2332  0.6796  0.9463  2 Sc 2.78, 1 Np 2.90
Se  0.2331  0.6796  0.4662  2 Sc 2.78, 1 Np 2.90
Se  0.2745  0.3237  0.5489  3 Sc 2.80-2.81
Se  0.7131  0.6796  0.9463  2 Sc 2.78, 1 Np 2.90
Se  0.2869  0.3204  0.0537  2 Sc 2.78, 1 Np 2.90
Se  0.7255  0.6763  0.4511  3 Sc 2.80-2.81
Se  0.7669  0.3204  0.5338  2 Sc 2.78, 1 Np 2.90
Se  0.7668  0.3204  0.0537  2 Sc 2.78, 1 Np 2.90

Calculated values
crystal system = trigonal
space-group type = R-3m, No. 166
V = 30.85 Å³ per atom
raw formation energy = -1.47 eV per atom


(3)
The following is a DFT calculation (PBE) of an optimized crystal structure of CsNpScSe3.

Cell: 4.5938 9.1266 10.6143 Å, 116.38 90.00 90.00°
With the nearest neighbours (Å) after each atom.
Element x y z (fractional)
Cs  0.2500  0.2500  0.2608  7 Se 3.71-3.98
Cs  0.7500  0.7500  0.7392  7 Se 3.71-3.98
Np  0.2500  0.6789  0.1160  5 Se 2.86-2.98
Np  0.7500  0.3211  0.8840  5 Se 2.86-2.98
Sc  0.2500  0.1369  0.6346  5 Se 2.63-2.87
Sc  0.7500  0.8631  0.3654  5 Se 2.63-2.87
Se  0.7500  0.8938  0.1305  1 Sc 2.63
Se  0.2500  0.1062  0.8695  1 Sc 2.63
Se  0.2500  0.8078  0.4585  3 Sc 2.64-2.74
Se  0.7500  0.1922  0.5415  3 Sc 2.64-2.74
Se  0.7500  0.5184  0.1821  3 Np 2.86-2.97, 1 Sc 2.87
Se  0.2500  0.4816  0.8179  3 Np 2.86-2.97, 1 Sc 2.87

Calculated values
crystal system = monoclinic
space-group type = P2_1/m, No. 11
V = 33.22 Å³ per atom
raw formation energy = -1.29 eV per atom


(4)
The following is a DFT calculation (PBE) of an optimized crystal structure of Cs3Np2ScTe6.

Cell: 7.8699 7.8699 9.2698 Å, 98.15 98.15 120.00°
With the nearest neighbours (Å) after each atom.
Element x y z (fractional)
Cs  0.1696  0.8304  0.5000  6 Te 3.79-3.88
Cs  0.8304  0.1696  0.5000  6 Te 3.79-3.88
Cs  0.5000  0.5000  0.5000  6 Te 3.79-3.89
Np  0.3336  0.6664  0.0000  6 Te 3.15
Np  0.6664  0.3336  0.0000  6 Te 3.15
Sc  0.0000  0.0000  0.0000  6 Te 3.01-3.02
Te  0.9378  0.6179  0.8134  1 Sc 3.01, 2 Np 3.15
Te  0.7428  0.7428  0.1879  1 Sc 3.02, 2 Np 3.15
Te  0.0622  0.3821  0.1866  1 Sc 3.01, 2 Np 3.15
Te  0.6179  0.9378  0.8134  1 Sc 3.01, 2 Np 3.15
Te  0.2572  0.2572  0.8121  1 Sc 3.02, 2 Np 3.15
Te  0.3821  0.0622  0.1866  1 Sc 3.01, 2 Np 3.15

Calculated values
crystal system = monoclinic
space-group type = C2/m, No. 12
V = 39.74 Å³ per atom
raw formation energy = -0.99 eV per atom


(5)
The following is a DFT calculation (PBE) of an optimized crystal structure of Cs3NpSc2Te6.

Cell: 7.7298 7.7298 9.2301 Å, 98.04 98.04 120.00°
With the nearest neighbours (Å) after each atom.
Element x y z (fractional)
Cs  0.1633  0.8367  0.5000  6 Te 3.76-3.85
Cs  0.8367  0.1633  0.5000  6 Te 3.76-3.85
Cs  0.5000  0.5000  0.5000  6 Te 3.74-3.84
Np  0.0000  0.0000  0.0000  6 Te 3.14
Sc  0.3330  0.6670  0.0000  6 Te 3.00
Sc  0.6670  0.3330  0.0000  6 Te 3.00
Te  0.9386  0.5908  0.8160  2 Sc 3.00, 1 Np 3.14
Te  0.7131  0.7131  0.1827  2 Sc 3.00, 1 Np 3.14
Te  0.0614  0.4092  0.1840  2 Sc 3.00, 1 Np 3.14
Te  0.5908  0.9386  0.8160  2 Sc 3.00, 1 Np 3.14
Te  0.2869  0.2869  0.8173  2 Sc 3.00, 1 Np 3.14
Te  0.4092  0.0614  0.1840  2 Sc 3.00, 1 Np 3.14

Calculated values
crystal system = monoclinic
space-group type = C2/m, No. 12
V = 38.21 Å³ per atom
raw formation energy = -1.11 eV per atom


(6)
The following is a DFT calculation (PBE) of an optimized crystal structure of CsNp2Se3.

Cell: 3.6167 7.7502 12.0829 Å, 90.00 90.00 90.00°
With the nearest neighbours (Å) after each atom.
Element x y z (fractional)
Cs  0.0000  0.9988  0.8848  2 Cs 3.62, 7 Se 3.63-3.74
Cs  0.0000  0.4988  0.1152  2 Cs 3.62, 7 Se 3.63-3.74
Np  0.0000  0.0187  0.3134  2 Np 2.47
Np  0.5000  0.0346  0.4523  2 Np 2.47
Np  0.0000  0.5187  0.6866  2 Np 2.47
Np  0.5000  0.5346  0.5477  2 Np 2.47
Se  0.5000  0.0783  0.1398  2 Np 2.81
Se  0.5000  0.2220  0.6670  4 Np 2.82-2.97
Se  0.0000  0.3489  0.4044  5 Np 2.79-3.09
Se  0.5000  0.5783  0.8602  2 Np 2.81
Se  0.5000  0.7220  0.3330  4 Np 2.82-2.97
Se  0.0000  0.8489  0.5956  5 Np 2.79-3.09

Calculated values
crystal system = orthorhombic
space-group type = Pmc2_1, No. 26
V = 28.22 Å³ per atom
raw formation energy = -0.93 eV per atom